A plane-wave DFT calculation with PBE-GGA was carried out for TlNi2P after structural relaxation.

Unit cell a=3.1905 b=3.1905 c=6.0363 alpha=90.00 beta=90.00 gamma=90.00
Space group P4mm (No. 99)
Asymmetric unit:
Tl  0.0000  0.0000  0.0000 [1 per cell]
Ni  0.0000  0.0000  0.5127 [1 per cell]
Ni  0.5000  0.5000  0.2649 [1 per cell]
P  0.5000  0.5000  0.6197 [1 per cell]

Theoretical density ... 9.53 Mg/m³
Raw total energy ... -4.823 eV/atom
Calculated volume ... 61.44 Å³ per cell
Total magnetization ... 0.000 μB per formula unit
DFT formation energy ... 0.012 eV/atom